[1]
The following is a DFT calculation (PBE) of a geometry-optimized CuTeN structure.

Values from the calculation:
SG: P-1, No. 2
Crystal system: triclinic
Total energy, eV/atom: -4.5865
Total moment, Bohr magnetons per cell: 0.00
Energy above the most stable polymorph in this dataset, meV/atom: 111

Structure (CIF):
```
data_CuTeN
_chemical_formula_sum 'Cu2 Te2 N2'
_space_group_name_H-M_alt 'P 1'
_space_group_IT_number 1
_cell_length_a 4.3388
_cell_length_b 4.7466
_cell_length_c 5.5916
_cell_angle_alpha 112.48
_cell_angle_beta 98.93
_cell_angle_gamma 104.16
loop_
_space_group_symop_operation_xyz
'x,y,z'
loop_
_atom_site_label
_atom_site_fract_x
_atom_site_fract_y
_atom_site_fract_z
_atom_site_occupancy
N1 0.5013 0.0347 0.7639 1
N2 0.4987 0.9653 0.2361 1
Cu1 0.3240 0.2274 0.5308 1
Cu2 0.6760 0.7726 0.4692 1
Te1 0.1561 0.6932 0.8350 1
Te2 0.8439 0.3068 0.1650 1
```



[2]
The following is a DFT calculation (PBE) of a geometry-optimized LiP2Au structure.

Values from the calculation:
SG: P4mm, No. 99
ΔH_f (0 K), eV/atom: 0.144
Crystal system: tetragonal
Total energy, eV/atom: -3.8588
Total moment, Bohr magnetons per cell: 0.00
Energy above the most stable polymorph in this dataset, meV/atom: 496

Structure (CIF):
```
data_LiP2Au
_chemical_formula_sum 'Li1 P2 Au1'
_space_group_name_H-M_alt 'P 1'
_space_group_IT_number 1
_cell_length_a 2.6570
_cell_length_b 2.6570
_cell_length_c 8.9769
_cell_angle_alpha 90.00
_cell_angle_beta 90.00
_cell_angle_gamma 90.00
loop_
_space_group_symop_operation_xyz
'x,y,z'
loop_
_atom_site_label
_atom_site_fract_x
_atom_site_fract_y
_atom_site_fract_z
_atom_site_occupancy
P1 0.5000 0.5000 0.2640 1
P2 0.0000 0.0000 0.9621 1
Au1 0.0000 0.0000 0.5199 1
Li1 0.5000 0.5000 0.7541 1
```



[3]
The following is a DFT calculation (PBE) of a geometry-optimized MnTc2Mo2 structure.

Values from the calculation:
SG: P4/mbm, No. 127
ΔH_f (0 K), eV/atom: 0.416
Crystal system: tetragonal
Total energy, eV/atom: -9.8968
Total moment, Bohr magnetons per cell: 7.35
Energy above the most stable polymorph in this dataset, meV/atom: 0

Structure (CIF):
```
data_MnTc2Mo2
_chemical_formula_sum 'Mn2 Tc4 Mo4'
_space_group_name_H-M_alt 'P 1'
_space_group_IT_number 1
_cell_length_a 7.4100
_cell_length_b 7.4100
_cell_length_c 2.9377
_cell_angle_alpha 90.00
_cell_angle_beta 90.00
_cell_angle_gamma 90.00
loop_
_space_group_symop_operation_xyz
'x,y,z'
loop_
_atom_site_label
_atom_site_fract_x
_atom_site_fract_y
_atom_site_fract_z
_atom_site_occupancy
Tc1 0.8464 0.3464 0.5000 1
Tc2 0.1536 0.6536 0.5000 1
Tc3 0.3464 0.1536 0.5000 1
Tc4 0.6536 0.8464 0.5000 1
Mo1 0.3533 0.8533 0.0000 1
Mo2 0.1467 0.3533 0.0000 1
Mo3 0.8533 0.6467 0.0000 1
Mo4 0.6467 0.1467 0.0000 1
Mn1 0.5000 0.5000 0.0000 1
Mn2 0.0000 0.0000 0.0000 1
```